[1]
A plane-wave DFT calculation with GGA-PBE was carried out for Be2SiAg after structural relaxation.

The value obtained for the formation energy without anion corrections is 0.2993 eV/atom. For the calculated density, the calculation gives 5.1 g/cm³. The magnetic moment is 0.00 μB per cell. As for the symmetry: No. 25.

Structure (CIF):
```
data_Be2SiAg
_chemical_formula_sum 'Be2 Si1 Ag1'
_space_group_name_H-M_alt 'P 1'
_space_group_IT_number 1
_cell_length_a 2.878
_cell_length_b 3.867
_cell_length_c 4.498
_cell_angle_alpha 90.00
_cell_angle_beta 90.00
_cell_angle_gamma 90.00
loop_
_space_group_symop_operation_xyz
'x,y,z'
loop_
_atom_site_label
_atom_site_type_symbol
_atom_site_fract_x
_atom_site_fract_y
_atom_site_fract_z
_atom_site_occupancy
Be1 Be 0.000 0.000 0.000 1
Be2 Be 0.000 0.500 0.287 1
Si1 Si 0.500 0.500 0.886 1
Ag1 Ag 0.500 0.000 0.494 1
```

[2]
A plane-wave DFT calculation with GGA-PBE was carried out for Be2SiAg after structural relaxation.

The value obtained for the formation energy without anion corrections is 0.3616 eV/atom. For the calculated density, the calculation gives 5.1 g/cm³. The magnetic moment is 0.00 μB per cell. As for the symmetry: No. 166.

Structure (CIF):
```
data_Be2SiAg
_chemical_formula_sum 'Be2 Si1 Ag1'
_space_group_name_H-M_alt 'P 1'
_space_group_IT_number 1
_cell_length_a 7.743
_cell_length_b 7.743
_cell_length_c 7.743
_cell_angle_alpha 20.59
_cell_angle_beta 20.59
_cell_angle_gamma 20.59
loop_
_space_group_symop_operation_xyz
'x,y,z'
loop_
_atom_site_label
_atom_site_type_symbol
_atom_site_fract_x
_atom_site_fract_y
_atom_site_fract_z
_atom_site_occupancy
Be1 Be 0.246 0.246 0.246 1
Be2 Be 0.754 0.754 0.754 1
Si1 Si 0.500 0.500 0.500 1
Ag1 Ag 0.000 0.000 0.000 1
```

[3]
A plane-wave DFT calculation with GGA-PBE was carried out for BeSiAg2 after structural relaxation.

The value obtained for the formation energy without anion corrections is 0.3464 eV/atom. For the calculated density, the calculation gives 7.0 g/cm³. The magnetic moment is 0.00 μB per cell. As for the symmetry: No. 47.

Structure (CIF):
```
data_BeSiAg2
_chemical_formula_sum 'Be1 Si1 Ag2'
_space_group_name_H-M_alt 'P 1'
_space_group_IT_number 1
_cell_length_a 3.849
_cell_length_b 3.939
_cell_length_c 3.952
_cell_angle_alpha 90.00
_cell_angle_beta 90.00
_cell_angle_gamma 90.00
loop_
_space_group_symop_operation_xyz
'x,y,z'
loop_
_atom_site_label
_atom_site_type_symbol
_atom_site_fract_x
_atom_site_fract_y
_atom_site_fract_z
_atom_site_occupancy
Be1 Be 0.000 0.000 0.000 1
Si1 Si 0.000 0.500 0.500 1
Ag1 Ag 0.500 0.000 0.500 1
Ag2 Ag 0.500 0.500 0.000 1
```

[4]
A plane-wave DFT calculation with GGA-PBE was carried out for BeSi2Ag2 after structural relaxation.

The value obtained for the formation energy without anion corrections is 0.3237 eV/atom. For the calculated density, the calculation gives 5.9 g/cm³. The magnetic moment is 0.00 μB per cell. As for the symmetry: No. 127.

Structure (CIF):
```
data_BeSi2Ag2
_chemical_formula_sum 'Be2 Si4 Ag4'
_space_group_name_H-M_alt 'P 1'
_space_group_IT_number 1
_cell_length_a 5.888
_cell_length_b 5.888
_cell_length_c 4.575
_cell_angle_alpha 90.00
_cell_angle_beta 90.00
_cell_angle_gamma 90.00
loop_
_space_group_symop_operation_xyz
'x,y,z'
loop_
_atom_site_label
_atom_site_type_symbol
_atom_site_fract_x
_atom_site_fract_y
_atom_site_fract_z
_atom_site_occupancy
Be1 Be 0.000 0.000 0.000 1
Be2 Be 0.500 0.500 0.000 1
Si1 Si 0.142 0.358 0.000 1
Si2 Si 0.358 0.858 0.000 1
Si3 Si 0.642 0.142 0.000 1
Si4 Si 0.858 0.642 0.000 1
Ag1 Ag 0.188 0.688 0.500 1
Ag2 Ag 0.312 0.188 0.500 1
Ag3 Ag 0.688 0.812 0.500 1
Ag4 Ag 0.812 0.312 0.500 1
```